1.
VASP calculation (PBE) on crystalline Ag2BiPd7 at its relaxed geometry.

Cell lengths 7.2916, 13.7639, 4.3555 Å; angles 90.00, 90.00, 90.00 degrees
Last column: nearest neighbours and their distance in Å.
Space group Cmmm (No. 65)
Asymmetric unit:
Ag1 0.0000 0.2006 0.0000 (multiplicity 4)  5 Pd 2.64-2.76
Bi1 0.0000 0.5000 0.5000 (multiplicity 2)  10 Pd 2.63-2.92
Pd1 0.0000 0.0000 0.0000 (multiplicity 2)  4 Pd 2.70, 2 Ag 2.76
Pd2 0.0000 0.3088 0.5000 (multiplicity 4)  1 Bi 2.63, 2 Ag 2.64, 4 Pd 2.83
Pd3 0.1835 0.3979 0.0000 (multiplicity 8)  5 Pd 2.68-2.83, 1 Ag 2.68, 2 Bi 2.92

Values from the calculation:
energy relative to the elements: 0.392 eV per atom
spin magnetization: 0.0000 μB/atom

***

2.
VASP calculation (PBE) on crystalline LiZrAg3 at its relaxed geometry.

Cell lengths 4.5244, 4.5244, 4.5244 Å; angles 90.00, 90.00, 90.00 degrees
Last column: nearest neighbours and their distance in Å.
Space group Pm-3m (No. 221)
Asymmetric unit:
Li1 0.0000 0.0000 0.0000 (multiplicity 1)  6 Ag 2.26
Zr1 0.5000 0.5000 0.5000 (multiplicity 1)  12 Ag 3.20
Ag1 0.0000 0.0000 0.5000 (multiplicity 3)  2 Li 2.26

Values from the calculation:
energy relative to the elements: 0.315 eV per atom
spin magnetization: 0.1308 μB/atom

***

3.
VASP calculation (PBE) on crystalline HoH8Ir2Pb at its relaxed geometry.

Cell lengths 4.2387, 4.2387, 24.5919 Å; angles 90.00, 90.00, 120.00 degrees
Last column: nearest neighbours and their distance in Å.
Space group R-3m (No. 166, hexagonal axes)
Asymmetric unit:
Ho1 0.0000 0.0000 0.0000 (multiplicity 3)  12 H 2.39
H1 0.0000 0.0000 0.1846 (multiplicity 6)  1 Ir 1.68
H2 0.0381 0.5191 0.0445 (multiplicity 18)  1 Ir 1.62
Ir1 0.0000 0.0000 0.2530 (multiplicity 6)  4 H 1.62-1.68
Pb1 0.0000 0.0000 0.5000 (multiplicity 3)  6 H 2.49

Values from the calculation:
spin magnetization: 0.0000 μB/atom
energy: -158.369 eV for the cell shown

***

4.
VASP calculation (PBE) on crystalline LiCaHoS3 at its relaxed geometry.

Cell lengths 8.1249, 3.9020, 8.4046 Å; angles 90.00, 101.99, 90.00 degrees
Last column: nearest neighbours and their distance in Å.
Space group P2_1/m (No. 11)
Asymmetric unit:
Li1 0.0853 0.2500 0.0840 (multiplicity 2)  4 S 2.36-2.39, 2 Li 2.63
Ca1 0.1830 0.2500 0.7287 (multiplicity 2)  7 S 2.92-3.05, 1 Li 3.24
Ho1 0.3334 0.7500 0.3288 (multiplicity 2)  6 S 2.71-2.77
S1 0.1087 0.2500 0.3682 (multiplicity 2)  1 Li 2.36
S2 0.2137 0.7500 0.0026 (multiplicity 2)  3 Li 2.38-2.39
S3 0.4292 0.7500 0.6653 (multiplicity 2)  3 Ho 2.74-2.77, 2 Ca 2.92

Values from the calculation:
spin magnetization: 0.0000 μB/atom
formation energy (no corrections): -1.8742 eV per atom

***

How do the records compare in V? In the order shown, they have 21.856 18.524 10.629 21.720 A^3/atom.